# 1
A relaxed structure of NdNpSe2, computed with PBE.

The structure belongs to space group R-3m (No. 166, hexagonal axes); the cell edges are 4.1668, 4.1668 and 20.3886 Å and the angles 90.00°, 90.00° and 120.00°. The inequivalent atoms are Nd at (0.0000, 0.0000, 0.0000), Np at (0.0000, 0.0000, 0.5000) and Se at (0.0000, 0.0000, 0.2464).

The value obtained for the energy above the most stable polymorph in this dataset is 0 meV per atom. The calculation puts the spin magnetization at 13.33 μB/cell. As for the calculated total energy: -7.629 eV per atom. As for the uncorrected formation energy: -1.460 eV per atom.

# 2
A relaxed structure of Nd5NpSe6, computed with PBE.

The structure belongs to space group C2/m (No. 12); the cell edges are 7.2868, 12.6143 and 7.3079 Å and the angles 90.00°, 109.40° and 90.00°. The inequivalent atoms are Nd at (0.0000, 0.0000, 0.0000), Nd at (0.0000, 0.1675, 0.5000), Nd at (0.0000, 0.3280, 0.0000), Np at (0.0000, 0.5000, 0.5000), Se at (0.2439, 0.5000, 0.2508) and Se at (0.2452, 0.3369, 0.7455).

The calculation puts the spin magnetization at 9.09 μB/cell. As for the calculated total energy: -6.517 eV per atom. As for the uncorrected formation energy: -1.709 eV per atom.

# 3
A relaxed structure of Nd3NpSe4, computed with PBE.

The structure belongs to space group I4/mmm (No. 139); the cell edges are 5.9345, 5.9345 and 11.9112 Å and the angles 90.00°, 90.00° and 90.00°. The inequivalent atoms are Nd at (0.0000, 0.0000, 0.0000), Nd at (0.0000, 0.5000, 0.2500), Np at (0.0000, 0.0000, 0.5000), Se at (0.0000, 0.0000, 0.2536) and Se at (0.0000, 0.5000, 0.0000).

The calculation puts the spin magnetization at 9.75 μB/cell. As for the calculated total energy: -6.796 eV per atom. As for the uncorrected formation energy: -1.648 eV per atom.

# 4
A relaxed structure of Nd4NpSe7, computed with PBE.

The structure belongs to space group Cm (No. 8); the cell edges are 13.8158, 4.1059 and 12.4788 Å and the angles 90.00°, 104.88° and 90.00°. The inequivalent atoms are Nd at (0.0000, 0.0000, 0.0000), Nd at (0.0824, 0.5000, 0.3826), Nd at (0.1866, 0.0000, 0.7664), Nd at (0.3841, 0.5000, 0.5735), Np at (0.2682, 0.5000, 0.1501), Se at (0.0450, 0.5000, 0.6242), Se at (0.1239, 0.5000, 0.9248), Se at (0.1498, 0.0000, 0.2253), Se at (0.2235, 0.0000, 0.5243), Se at (0.3450, 0.5000, 0.7910), Se at (0.3811, 0.0000, 0.0761) and Se at (0.4231, 0.5000, 0.3552).

The calculation puts the spin magnetization at 8.82 μB/cell. As for the calculated total energy: -6.421 eV per atom. As for the uncorrected formation energy: -1.721 eV per atom.

# 5
A relaxed structure of Nd2Np2Se7, computed with PBE.

The structure belongs to space group Cmmm (No. 65); the cell edges are 9.2244, 10.3198 and 6.9685 Å and the angles 90.00°, 90.00° and 90.00°. The inequivalent atoms are Nd at (0.2311, 0.0000, 0.0000), Np at (0.0000, 0.2338, 0.5000), Se at (0.0000, 0.0000, 0.2669), Se at (0.0000, 0.5000, 0.5000) and Se at (0.2500, 0.2500, 0.2438).

The calculation puts the spin magnetization at 12.00 μB/cell. As for the calculated total energy: -6.690 eV per atom. As for the uncorrected formation energy: -1.253 eV per atom.

# 6
A relaxed structure of Nd5Np2Se12, computed with PBE.

The structure belongs to space group C2/m (No. 12); the cell edges are 16.2885, 7.8061 and 9.4881 Å and the angles 90.00°, 107.48° and 90.00°. The inequivalent atoms are Nd at (0.0000, 0.0000, 0.0000), Nd at (0.1863, 0.5000, 0.3234), Nd at (0.2057, 0.5000, 0.8629), Np at (0.0000, 0.2553, 0.5000), Se at (0.0035, 0.5000, 0.7199), Se at (0.0053, 0.0000, 0.3067), Se at (0.1480, 0.2525, 0.0652) and Se at (0.1749, 0.2668, 0.5907).

The calculation puts the spin magnetization at 10.00 μB/cell. As for the calculated total energy: -6.352 eV per atom. As for the uncorrected formation energy: -1.534 eV per atom.

# 7
A relaxed structure of NdNpSe2, computed with PBE.

The structure belongs to space group R3m (No. 160, hexagonal axes); the cell edges are 3.9977, 3.9977 and 22.4629 Å and the angles 90.00°, 90.00° and 120.00°. The inequivalent atoms are Nd at (0.0000, 0.0000, 0.0000), Np at (0.0000, 0.0000, 0.1734), Se at (0.0000, 0.0000, 0.4206) and Se at (0.0000, 0.0000, 0.5852).

The value obtained for the energy above the most stable polymorph in this dataset is 93 meV per atom. The calculation puts the spin magnetization at 13.75 μB/cell. As for the calculated total energy: -7.536 eV per atom. As for the uncorrected formation energy: -1.366 eV per atom.

# 8
A relaxed structure of Nd6NpSe8, computed with PBE.

The structure belongs to space group Fm-3m (No. 225); the cell edges are 11.9202, 11.9202 and 11.9202 Å and the angles 90.00°, 90.00° and 90.00°. The inequivalent atoms are Nd at (0.0000, 0.2500, 0.2500), Np at (0.0000, 0.0000, 0.0000), Se at (0.0000, 0.0000, 0.2485) and Se at (0.2500, 0.2500, 0.2500).

The calculation puts the spin magnetization at 20.37 μB/cell. As for the calculated total energy: -6.381 eV per atom. As for the uncorrected formation energy: -1.753 eV per atom.

# 9
A relaxed structure of Nd2Np3Se8, computed with PBE.

The structure belongs to space group C2/m (No. 12); the cell edges are 14.7365, 8.2896 and 7.1353 Å and the angles 90.00°, 108.91° and 90.00°. The inequivalent atoms are Nd at (0.2380, 0.0000, 0.1644), Np at (0.0000, 0.2428, 0.5000), Np at (0.0000, 0.5000, 0.0000), Se at (0.1146, 0.0000, 0.4143), Se at (0.1147, 0.5000, 0.4190) and Se at (0.1228, 0.2626, 0.9064).

The calculation puts the spin magnetization at 6.51 μB/cell. As for the calculated total energy: -7.194 eV per atom. As for the uncorrected formation energy: -1.330 eV per atom.

# 10
A relaxed structure of NdNp6Se8, computed with PBE.

The structure belongs to space group Fm-3m (No. 225); the cell edges are 11.5960, 11.5960 and 11.5960 Å and the angles 90.00°, 90.00° and 90.00°. The inequivalent atoms are Nd at (0.0000, 0.0000, 0.0000), Np at (0.0000, 0.2500, 0.2500), Se at (0.0000, 0.0000, 0.2577) and Se at (0.2500, 0.2500, 0.2500).

The calculation puts the spin magnetization at 104.41 μB/cell. As for the calculated total energy: -8.566 eV per atom. As for the uncorrected formation energy: -1.214 eV per atom.

# 11
A relaxed structure of Nd4NpSe5, computed with PBE.

The structure belongs to space group I4/mmm (No. 139); the cell edges are 4.2044, 4.2044 and 29.7876 Å and the angles 90.00°, 90.00° and 90.00°. The inequivalent atoms are Nd at (0.0000, 0.0000, 0.1003), Nd at (0.0000, 0.0000, 0.3031), Np at (0.0000, 0.0000, 0.5000), Se at (0.0000, 0.0000, 0.0000), Se at (0.0000, 0.0000, 0.2014) and Se at (0.0000, 0.0000, 0.4025).

The calculation puts the spin magnetization at 8.96 μB/cell. As for the calculated total energy: -6.627 eV per atom. As for the uncorrected formation energy: -1.684 eV per atom.

# 12
A relaxed structure of Nd3Np2Se6, computed with PBE.

The structure belongs to space group R-3m (No. 166, hexagonal axes); the cell edges are 4.1909, 4.1909 and 61.1266 Å and the angles 90.00°, 90.00° and 120.00°. The inequivalent atoms are Nd at (0.0000, 0.0000, 0.0000), Nd at (0.0000, 0.0000, 0.2759), Np at (0.0000, 0.0000, 0.4470), Se at (0.0000, 0.0000, 0.0861), Se at (0.0000, 0.0000, 0.1961) and Se at (0.0000, 0.0000, 0.3619).

The calculation puts the spin magnetization at 23.33 μB/cell. As for the calculated total energy: -7.060 eV per atom. As for the uncorrected formation energy: -1.506 eV per atom.